Model w:
Mg3AuS | GGA-PBE | optimized geometry

Unit cell a=4.752 b=4.752 c=4.752 alpha=90.00 beta=90.00 gamma=90.00
Fractional coordinates of all 5 atoms:
Mg 0.000 0.000 0.500
Mg 0.000 0.500 0.000
Mg 0.500 0.000 0.000
Au 0.500 0.500 0.500
S 0.000 0.000 0.000

Calculated values
M_tot: 0.00 μB per cell



Model x:
Mg3AuS | GGA-PBE | optimized geometry

Unit cell a=5.050 b=5.050 c=5.050 alpha=90.00 beta=90.00 gamma=90.00
Fractional coordinates of all 5 atoms:
Mg 0.000 0.000 0.500
Mg 0.000 0.500 0.000
Mg 0.500 0.000 0.000
Au 0.000 0.000 0.000
S 0.500 0.500 0.500

Calculated values
M_tot: 0.00 μB per cell



It is model x that is the least stable of them.



Model w:
MgSbAu4 | GGA-PBE | optimized geometry

Unit cell a=4.805 b=4.819 c=5.922 alpha=103.30 beta=103.89 gamma=105.00
Fractional coordinates of all 6 atoms:
Mg 0.000 0.000 0.000
Sb 0.500 0.500 0.500
Au 0.067 0.446 0.769
Au 0.441 0.062 0.764
Au 0.559 0.938 0.236
Au 0.933 0.554 0.231

Calculated values
M_tot: 0.00 μB per cell



Model x:
MgSbAu4 | GGA-PBE | optimized geometry

Unit cell a=5.589 b=5.589 c=5.589 alpha=60.00 beta=60.00 gamma=60.00
Fractional coordinates of all 6 atoms:
Mg 0.000 0.000 0.000
Sb 0.750 0.750 0.750
Au 0.375 0.375 0.375
Au 0.375 0.375 0.876
Au 0.375 0.876 0.375
Au 0.876 0.375 0.375

Calculated values
M_tot: 0.00 μB per cell



It is model x that is the least stable of them.



Model w:
Mg2Sb2Au | GGA-PBE | optimized geometry

Unit cell a=7.307 b=7.307 c=4.518 alpha=90.00 beta=90.00 gamma=90.00
Fractional coordinates of all 10 atoms:
Mg 0.162 0.338 0.000
Mg 0.338 0.838 0.000
Mg 0.662 0.162 0.000
Mg 0.838 0.662 0.000
Sb 0.144 0.644 0.500
Sb 0.356 0.144 0.500
Sb 0.644 0.856 0.500
Sb 0.856 0.356 0.500
Au 0.000 0.000 0.000
Au 0.500 0.500 0.000

Calculated values
M_tot: 0.00 μB per cell



Model x:
Mg2Sb2Au | GGA-PBE | optimized geometry

Unit cell a=8.340 b=8.340 c=3.456 alpha=90.00 beta=90.00 gamma=90.00
Fractional coordinates of all 10 atoms:
Mg 0.130 0.370 0.000
Mg 0.370 0.870 0.000
Mg 0.630 0.130 0.000
Mg 0.870 0.630 0.000
Sb 0.174 0.674 0.500
Sb 0.326 0.174 0.500
Sb 0.674 0.826 0.500
Sb 0.826 0.326 0.500
Au 0.000 0.000 0.500
Au 0.500 0.500 0.500

Calculated values
M_tot: 0.00 μB per cell



It is model x that is the least stable of them.



Model w:
Mg2SbAu2 | GGA-PBE | optimized geometry

Unit cell a=7.940 b=7.940 c=3.296 alpha=90.00 beta=90.00 gamma=90.00
Fractional coordinates of all 10 atoms:
Mg 0.151 0.349 0.000
Mg 0.349 0.849 0.000
Mg 0.651 0.151 0.000
Mg 0.849 0.651 0.000
Sb 0.000 0.000 0.000
Sb 0.500 0.500 0.000
Au 0.138 0.638 0.500
Au 0.362 0.138 0.500
Au 0.638 0.862 0.500
Au 0.862 0.362 0.500

Calculated values
M_tot: 0.00 μB per cell



Model x:
Mg2SbAu2 | GGA-PBE | optimized geometry

Unit cell a=7.865 b=7.865 c=3.276 alpha=90.00 beta=90.00 gamma=90.00
Fractional coordinates of all 10 atoms:
Mg 0.160 0.340 0.000
Mg 0.340 0.840 0.000
Mg 0.660 0.160 0.000
Mg 0.840 0.660 0.000
Sb 0.000 0.000 0.500
Sb 0.500 0.500 0.500
Au 0.134 0.634 0.500
Au 0.366 0.134 0.500
Au 0.634 0.866 0.500
Au 0.866 0.366 0.500

Calculated values
M_tot: 0.00 μB per cell



Model y:
Mg2SbAu2 | GGA-PBE | optimized geometry

Unit cell a=4.217 b=4.217 c=12.214 alpha=90.00 beta=90.00 gamma=90.00
Fractional coordinates of all 10 atoms:
Mg 0.000 0.500 0.250
Mg 0.000 0.500 0.750
Mg 0.500 0.000 0.250
Mg 0.500 0.000 0.750
Sb 0.000 0.000 0.000
Sb 0.500 0.500 0.500
Au 0.000 0.000 0.387
Au 0.000 0.000 0.613
Au 0.500 0.500 0.113
Au 0.500 0.500 0.887

Calculated values
M_tot: 0.00 μB per cell



It is model y that is the least stable of them.



Model w:
Mg3ScAu | GGA-PBE | optimized geometry

Unit cell a=5.608 b=5.608 c=5.608 alpha=90.00 beta=90.00 gamma=90.00
Fractional coordinates of all 5 atoms:
Mg 0.000 0.000 0.500
Mg 0.000 0.500 0.000
Mg 0.500 0.000 0.000
Sc 0.000 0.000 0.000
Au 0.500 0.500 0.500

Calculated values
M_tot: 0.00 μB per cell



Model x:
Mg3ScAu | GGA-PBE | optimized geometry

Unit cell a=5.032 b=5.032 c=5.032 alpha=90.00 beta=90.00 gamma=90.00
Fractional coordinates of all 5 atoms:
Mg 0.000 0.000 0.500
Mg 0.000 0.500 0.000
Mg 0.500 0.000 0.000
Sc 0.500 0.500 0.500
Au 0.000 0.000 0.000

Calculated values
M_tot: 0.00 μB per cell



It is model w that is the least stable of them.



Model w:
MgScSnAu | GGA-PBE | optimized geometry

Unit cell a=6.929 b=6.929 c=6.929 alpha=90.00 beta=90.00 gamma=90.00
Fractional coordinates of all 16 atoms:
Mg 0.000 0.000 0.000
Mg 0.000 0.500 0.500
Mg 0.500 0.000 0.500
Mg 0.500 0.500 0.000
Sc 0.000 0.000 0.500
Sc 0.000 0.500 0.000
Sc 0.500 0.000 0.000
Sc 0.500 0.500 0.500
Sn 0.250 0.250 0.750
Sn 0.250 0.750 0.250
Sn 0.750 0.250 0.250
Sn 0.750 0.750 0.750
Au 0.250 0.250 0.250
Au 0.250 0.750 0.750
Au 0.750 0.250 0.750
Au 0.750 0.750 0.250

Calculated values
M_tot: 0.00 μB per cell



Model x:
MgScSnAu | GGA-PBE | optimized geometry

Unit cell a=4.054 b=4.383 c=4.613 alpha=90.00 beta=90.00 gamma=90.00
Fractional coordinates of all 4 atoms:
Mg 0.000 0.000 0.000
Sc 0.000 0.500 0.500
Sn 0.500 0.000 0.500
Au 0.500 0.500 0.000

Calculated values
M_tot: 0.00 μB per cell



It is model w that is the least stable of them.



Model w:
MgAuSe | GGA-PBE | optimized geometry

Unit cell a=6.418 b=6.418 c=6.418 alpha=90.00 beta=90.00 gamma=90.00
Fractional coordinates of all 12 atoms:
Mg 0.000 0.000 0.000
Mg 0.000 0.500 0.500
Mg 0.500 0.000 0.500
Mg 0.500 0.500 0.000
Au 0.250 0.250 0.750
Au 0.250 0.750 0.250
Au 0.750 0.250 0.250
Au 0.750 0.750 0.750
Se 0.250 0.250 0.250
Se 0.250 0.750 0.750
Se 0.750 0.250 0.750
Se 0.750 0.750 0.250

Calculated values
M_tot: 0.00 μB per cell



Model x:
MgAuSe | GGA-PBE | optimized geometry

Unit cell a=3.641 b=3.641 c=9.022 alpha=90.00 beta=90.00 gamma=90.00
Fractional coordinates of all 6 atoms:
Mg 0.000 0.000 0.000
Mg 0.500 0.500 0.500
Au 0.000 0.000 0.669
Au 0.500 0.500 0.169
Se 0.000 0.000 0.368
Se 0.500 0.500 0.868

Calculated values
M_tot: 0.00 μB per cell



Model y:
MgAuSe | GGA-PBE | optimized geometry

Unit cell a=12.702 b=4.266 c=6.599 alpha=90.00 beta=114.62 gamma=90.00
Fractional coordinates of all 12 atoms:
Mg 0.198 0.000 0.260
Mg 0.302 0.500 0.740
Mg 0.698 0.500 0.260
Mg 0.802 0.000 0.740
Au 0.041 0.000 0.845
Au 0.459 0.500 0.155
Au 0.541 0.500 0.845
Au 0.959 0.000 0.155
Se 0.174 0.000 0.646
Se 0.326 0.500 0.354
Se 0.674 0.500 0.646
Se 0.826 0.000 0.354

Calculated values
M_tot: 0.00 μB per cell



It is model x that is the least stable of them.



Model w:
MgAuSe | GGA-PBE | optimized geometry

Unit cell a=4.079 b=4.079 c=4.432 alpha=90.00 beta=90.00 gamma=120.00
Fractional coordinates of all 3 atoms:
Mg 0.000 0.000 0.000
Au 0.667 0.333 0.661
Se 0.333 0.667 0.303

Calculated values
M_tot: 0.00 μB per cell



Model x:
MgAuSe | GGA-PBE | optimized geometry

Unit cell a=3.107 b=3.107 c=12.788 alpha=90.00 beta=90.00 gamma=90.00
Fractional coordinates of all 6 atoms:
Mg 0.000 0.000 0.000
Mg 0.500 0.500 0.500
Au 0.000 0.000 0.640
Au 0.500 0.500 0.140
Se 0.000 0.000 0.363
Se 0.500 0.500 0.863

Calculated values
M_tot: 0.00 μB per cell



It is model x that is the least stable of them.